# 1
VASP calculation (meta-GGA SCAN) on a crystal of YPt3 relaxed with PBEsol.

Cell lengths 4.0537, 4.0537, 16.4227 Å; angles 90.00, 90.00, 90.00 degrees
Space group I4/mmm (No. 139)
Symmetry-distinct sites (fractional):
Y: 0.0000 0.0000 0.1249 x4
Pt: 0.0000 0.0000 0.3776 x4
Pt: 0.0000 0.5000 0.0000 x4
Pt: 0.0000 0.5000 0.2500 x4

Summary:
The total energy is -60.6286 eV/atom. As for the calculated volume: 16.866 A^3/atom. For the formation enthalpy at 0 K, the calculation gives -1.023 eV per atom. As for the total magnetization: 0.0000 μB/atom.

# 2
VASP calculation (meta-GGA SCAN) on a crystal of SeIBrN2 relaxed with PBEsol.

Cell lengths 3.9646, 3.9646, 7.3861 Å; angles 90.00, 90.00, 90.00 degrees
Space group P4/mmm (No. 123)
Symmetry-distinct sites (fractional):
Se: 0.0000 0.0000 0.0000 x1
I: 0.5000 0.5000 0.0000 x1
Br: 0.5000 0.5000 0.5000 x1
N: 0.0000 0.5000 0.5000 x2

Summary:
The total energy is -16.9222 eV/atom. As for the calculated volume: 23.219 A^3/atom. The uncorrected formation energy comes out at 2.050 eV per atom. As for the total magnetization: 0.5676 μB/atom.

# 3
VASP calculation (meta-GGA SCAN) on a crystal of AlCu2Ni4 relaxed with PBEsol.

Cell lengths 5.4752, 3.5528, 7.9020 Å; angles 90.00, 96.72, 90.00 degrees
Space group P2_1/m (No. 11)
Symmetry-distinct sites (fractional):
Al: 0.2054 0.2500 0.3183 x2
Cu: 0.0671 0.7500 0.1028 x2
Cu: 0.3559 0.7500 0.5394 x2
Ni: 0.0758 0.2500 0.6102 x2
Ni: 0.2230 0.7500 0.8225 x2
Ni: 0.3619 0.2500 0.0343 x2
Ni: 0.4961 0.7500 0.2470 x2

Summary:
The total energy is -14.8846 eV/atom. As for the calculated volume: 10.904 A^3/atom. For the formation enthalpy at 0 K, the calculation gives -0.193 eV per atom. As for the total magnetization: 0.0004 μB/atom.

# 4
VASP calculation (meta-GGA SCAN) on a crystal of AgBi2I relaxed with PBEsol.

Cell lengths 4.4948, 4.4948, 23.7990 Å; angles 90.00, 90.00, 90.00 degrees
Space group I-42d (No. 122)
Symmetry-distinct sites (fractional):
Ag: 0.0000 0.0000 0.0000 x4
Bi: 0.2188 0.2500 0.1250 x8
I: 0.0000 0.0000 0.5000 x4

Summary:
The value obtained for the polymorph energy (0 for the lowest one) is 0 meV/atom. The total energy is -56.1056 eV/atom. As for the calculated volume: 30.051 A^3/atom. The uncorrected formation energy comes out at 0.211 eV per atom. As for the total magnetization: 0.0000 μB/atom.

# 5
VASP calculation (meta-GGA SCAN) on a crystal of AlReAu relaxed with PBEsol.

Cell lengths 2.7702, 3.1895, 10.2534 Å; angles 90.00, 90.00, 90.00 degrees
Space group Imm2 (No. 44)
Symmetry-distinct sites (fractional):
Al: 0.0000 0.0000 0.0000 x2
Re: 0.0000 0.0000 0.3479 x2
Au: 0.0000 0.0000 0.6603 x2

Summary:
The value obtained for the polymorph energy (0 for the lowest one) is 35 meV/atom. The total energy is -49.2399 eV/atom. As for the calculated volume: 15.099 A^3/atom. For the formation enthalpy at 0 K, the calculation gives 0.096 eV per atom. As for the total magnetization: 0.0000 μB/atom.

# 6
VASP calculation (meta-GGA SCAN) on a crystal of Li2Ti4NiP4O20 relaxed with PBEsol.

Cell lengths 6.4178, 7.2557, 7.3064 Å; angles 90.30, 90.29, 90.48 degrees
Space group P-1 (No. 2)
Symmetry-distinct sites (fractional):
Li: 0.0000 0.0000 0.0000 x1
Li: 0.5000 0.0000 0.0000 x1
Ti: 0.2396 0.7724 0.6591 x2
Ti: 0.2497 0.7214 0.1592 x2
Ni: 0.5000 0.5000 0.5000 x1
P: 0.2514 0.1259 0.3751 x2
P: 0.2542 0.3677 0.8721 x2
O: 0.0535 0.2425 0.3792 x2
O: 0.0566 0.2469 0.8579 x2
O: 0.2426 0.4858 0.0478 x2
O: 0.2428 0.8365 0.8894 x2
O: 0.2518 0.0005 0.2024 x2
O: 0.2649 0.0105 0.5506 x2
O: 0.2743 0.4957 0.7029 x2
O: 0.2824 0.6566 0.3879 x2
O: 0.4398 0.2594 0.3643 x2
O: 0.4440 0.2414 0.8830 x2

Summary:
The total energy is -10.9061 eV/atom. As for the calculated volume: 10.974 A^3/atom. The uncorrected formation energy comes out at -2.800 eV per atom. As for the total magnetization: 0.0624 μB/atom.

# 7
VASP calculation (meta-GGA SCAN) on a crystal of TiCu2IrW relaxed with PBEsol.

Cell lengths 4.5068, 4.5068, 4.4309 Å; angles 90.00, 90.00, 90.00 degrees
Space group P4/mmm (No. 123)
Symmetry-distinct sites (fractional):
Ti: 0.0000 0.0000 0.0000 x1
Cu: 0.0000 0.5000 0.5000 x2
Ir: 0.0000 0.0000 0.5000 x1
W: 0.5000 0.5000 0.0000 x1

Summary:
The total energy is -35.9879 eV/atom. As for the calculated volume: 18.000 A^3/atom. For the formation enthalpy at 0 K, the calculation gives 1.455 eV per atom. As for the total magnetization: 0.4550 μB/atom.

# 8
VASP calculation (meta-GGA SCAN) on a crystal of TaSbTe2 relaxed with PBEsol.

Cell lengths 5.9175, 9.2796, 3.9913 Å; angles 90.00, 117.78, 90.00 degrees
Space group C2/m (No. 12)
Symmetry-distinct sites (fractional):
Ta: 0.0000 0.0000 0.0000 x2
Sb: 0.0000 0.5000 0.0000 x2
Te: 0.2500 0.2500 0.5000 x4

Summary:
The total energy is -43.9735 eV/atom. As for the calculated volume: 24.239 A^3/atom. The uncorrected formation energy comes out at 0.613 eV per atom. As for the total magnetization: 0.0003 μB/atom.